{"formula": "Ac4InBiN", "functional": "PBE-GGA", "state": "relaxed", "energy_ev_per_cell": -72.6, "sg": "No. 63", "e_form_raw_ev_per_atom": -0.70, "dos_at_fermi_per_ev_fu": 4.579, "crystal_system": "orthorhombic", "lattice": [[7.297, 0.000, 0.000], [0.000, 7.370, 0.000], [-3.648, 0.000, 8.992]], "species": ["Ac", "Ac", "Ac", "Ac", "Ac", "Ac", "Ac", "Ac", "In", "In", "Bi", "Bi", "N", "N"], "fractional_positions": [[0.920, 0.250, 0.841], [0.417, 0.750, 0.834], [0.080, 0.750, 0.159], [0.583, 0.250, 0.166], [0.500, 0.500, 0.500], [0.000, 0.000, 0.500], [0.500, 0.000, 0.500], [0.000, 0.500, 0.500], [0.613, 0.750, 0.226], [0.387, 0.250, 0.774], [0.110, 0.250, 0.220], [0.890, 0.750, 0.780], [0.275, 0.750, 0.551], [0.725, 0.250, 0.449]]}

---

{"formula": "NaAcInBi", "functional": "PBE-GGA", "state": "relaxed", "energy_ev_per_cell": -13.5, "sg": "No. 216", "ef_ev_per_atom": -0.373, "dos_at_fermi_per_ev_fu": 2.651, "crystal_system": "cubic", "lattice": [[5.704, 0.000, 0.000], [2.852, 4.940, 0.000], [2.852, 1.647, 4.657]], "species": ["Na", "Ac", "Bi", "In"], "fractional_positions": [[0.000, 0.000, 0.000], [0.500, 0.500, 0.500], [0.750, 0.750, 0.750], [0.250, 0.250, 0.250]]}

---

{"formula": "AcNdInBi", "functional": "PBE-GGA", "state": "relaxed", "energy_ev_per_cell": -17.5, "sg": "No. 216", "ef_ev_per_atom": -0.493, "dos_at_fermi_per_ev_fu": 4.686, "crystal_system": "cubic", "lattice": [[-2.728, 5.038, -0.100], [-3.490, 1.283, -4.361], [-5.666, 0.207, 0.830]], "species": ["Ac", "Nd", "Bi", "In"], "fractional_positions": [[0.500, 0.500, 0.500], [0.000, 0.000, 0.000], [0.750, 0.750, 0.750], [0.250, 0.250, 0.250]]}